Material: Ni2RhClF
Method: DFT, PBE+U
State: relaxed

Cell and atoms, written as POSCAR:
```
Ni2RhClF
1.0
4.377 0.000 0.000
0.000 4.377 0.000
0.000 0.000 4.471
Ni Rh Cl F
2 1 1 1
Cartesian
0.000 2.188 0.000
2.188 0.000 0.000
0.000 0.000 2.236
0.000 0.000 0.000
2.188 2.188 2.236
```

Computed properties:
E_tot = -2.660 eV per atom
magnetic moment = 0.53 μB/atom